Computed, not measured: HoVBrO4 after structural relaxation at the PBE+U level of DFT.

Unit cell a=6.7185 b=6.7185 c=6.7505 alpha=101.58 beta=101.58 gamma=56.09
With the nearest neighbours (Å) after each atom.
Element x y z (fractional)
Ho  0.2058  0.2058  0.3422  6 O 2.20-2.41
Ho  0.7942  0.7942  0.6578  6 O 2.20-2.41
V  0.1317  0.1317  0.7600  4 O 1.71-1.79
V  0.8683  0.8683  0.2400  4 O 1.71-1.79
Br  0.4742  0.4742  0.8252  1 Br 2.30
Br  0.5258  0.5258  0.1748  1 Br 2.30
O  0.0152  0.0152  0.2698  1 V 1.71
O  0.0345  0.6084  0.3759  1 V 1.79
O  0.1982  0.1982  0.0125  1 V 1.71
O  0.3916  0.9655  0.6241  1 V 1.79
O  0.6084  0.0345  0.3759  1 V 1.79
O  0.8018  0.8018  0.9875  1 V 1.71
O  0.9655  0.3916  0.6241  1 V 1.79
O  0.9848  0.9848  0.7302  1 V 1.71

The space group is C2/m (12).



Computed, not measured: HoWBrO4 after structural relaxation at the PBE+U level of DFT.

Unit cell a=6.4278 b=6.4278 c=6.9923 alpha=104.45 beta=104.45 gamma=69.06
With the nearest neighbours (Å) after each atom.
Element x y z (fractional)
Ho  0.2305  0.2305  0.1221  4 O 2.28-2.30
Ho  0.7695  0.7695  0.8779  4 O 2.28-2.30
W  0.3654  0.3654  0.7357  4 O 1.80-1.83
W  0.6346  0.6346  0.2643  4 O 1.80-1.83
Br  0.0108  0.0108  0.7569  2 Ho 2.89-2.93, 1 O 3.21
Br  0.9892  0.9892  0.2431  2 Ho 2.89-2.93, 1 O 3.21
O  0.1071  0.4932  0.8449  1 W 1.83
O  0.3018  0.3018  0.4666  1 W 1.80
O  0.4553  0.4553  0.1897  1 W 1.81
O  0.4932  0.1071  0.8449  1 W 1.83
O  0.5068  0.8929  0.1551  1 W 1.83
O  0.5447  0.5447  0.8103  1 W 1.81
O  0.6982  0.6982  0.5334  1 W 1.80
O  0.8929  0.5068  0.1551  1 W 1.83

The space group is C2/m (12). The value obtained for the energy above the most stable polymorph in this dataset is 9.2 meV per atom.



Computed, not measured: HoWBrO4 after structural relaxation at the PBE+U level of DFT.

Unit cell a=7.0402 b=7.3299 c=10.9986 alpha=74.43 beta=71.67 gamma=84.80
With the nearest neighbours (Å) after each atom.
Element x y z (fractional)
Ho  0.0612  0.0951  0.2705  4 O 2.23-2.42
Ho  0.3928  0.6658  0.2346  6 O 2.24-2.41
Ho  0.6072  0.3342  0.7654  6 O 2.24-2.41
Ho  0.9388  0.9049  0.7295  4 O 2.23-2.42
W  0.1356  0.4186  0.6242  4 O 1.80-1.87
W  0.4103  0.8164  0.8669  4 O 1.80-1.86
W  0.5897  0.1836  0.1331  4 O 1.80-1.86
W  0.8644  0.5814  0.3758  4 O 1.80-1.87
Br  0.2088  0.2715  0.9885  2 Ho 2.90-3.07, 3 O 3.19-3.24
Br  0.2513  0.0310  0.4825  2 Ho 2.89-2.95, 1 O 3.10
Br  0.7487  0.9690  0.5175  2 Ho 2.89-2.95, 1 O 3.10
Br  0.7912  0.7285  0.0115  2 Ho 2.90-3.07, 3 O 3.19-3.24
O  0.0316  0.6141  0.6954  1 W 1.80
O  0.0510  0.7772  0.2920  1 W 1.87
O  0.2065  0.8907  0.7986  1 W 1.80
O  0.2106  0.5062  0.4439  1 W 1.83
O  0.3099  0.7408  0.0443  1 W 1.80
O  0.3619  0.3512  0.6684  1 W 1.80
O  0.4037  0.9891  0.1942  1 W 1.86
O  0.4599  0.3778  0.1979  1 W 1.81
O  0.5401  0.6222  0.8021  1 W 1.81
O  0.5963  0.0109  0.8058  1 W 1.86
O  0.6381  0.6488  0.3316  1 W 1.80
O  0.6901  0.2592  0.9557  1 W 1.80
O  0.7894  0.4938  0.5561  1 W 1.83
O  0.7935  0.1093  0.2014  1 W 1.80
O  0.9490  0.2228  0.7080  1 W 1.87
O  0.9684  0.3859  0.3046  1 W 1.80

The space group is P-1 (2). The value obtained for the energy above the most stable polymorph in this dataset is 0.0 meV per atom.



| no. | raw total energy (eV per atom) | V (A^3/atom) | spin magnetization (μB per formula unit) |
| --- | --- | --- | --- |
| 1 | -7.0206 | 17.59 | 0.0 |
| 2 | -7.1263 | 18.37 | 0.0 |
| 3 | -7.1354 | 18.54 | 0.0 |